A plane-wave DFT calculation with PBEsol was carried out for a relaxed structure of CaMg2H24Cl6O12.

Calculated values
VASP energy: -217.781 eV per cell
M_tot: 0.002 μB per formula unit

abc: 8.271 8.271 8.271
angles: 73.15 73.15 73.15
Fractional coordinates of all 45 atoms:
Ca: 0.000 0.000 0.000
Mg: 0.323 0.323 0.323
Mg: 0.677 0.677 0.677
H: 0.021 0.212 0.373
H: 0.097 0.610 0.457
H: 0.107 0.137 0.533
H: 0.137 0.533 0.107
H: 0.212 0.373 0.021
H: 0.261 0.654 0.313
H: 0.313 0.261 0.654
H: 0.346 0.687 0.739
H: 0.373 0.021 0.212
H: 0.390 0.543 0.903
H: 0.457 0.097 0.610
H: 0.467 0.893 0.863
H: 0.533 0.107 0.137
H: 0.543 0.903 0.390
H: 0.610 0.457 0.097
H: 0.627 0.979 0.788
H: 0.654 0.313 0.261
H: 0.687 0.739 0.346
H: 0.739 0.346 0.687
H: 0.788 0.627 0.979
H: 0.863 0.467 0.893
H: 0.893 0.863 0.467
H: 0.903 0.390 0.543
H: 0.979 0.788 0.627
Cl: 0.104 0.303 0.865
Cl: 0.135 0.896 0.697
Cl: 0.303 0.865 0.104
Cl: 0.697 0.135 0.896
Cl: 0.865 0.104 0.303
Cl: 0.896 0.697 0.135
O: 0.086 0.244 0.440
O: 0.213 0.555 0.395
O: 0.244 0.440 0.086
O: 0.395 0.213 0.555
O: 0.440 0.086 0.244
O: 0.445 0.605 0.787
O: 0.555 0.395 0.213
O: 0.560 0.914 0.756
O: 0.605 0.787 0.445
O: 0.756 0.560 0.914
O: 0.787 0.445 0.605
O: 0.914 0.756 0.560

***

A plane-wave DFT calculation with PBEsol was carried out for a relaxed structure of CaH8Cl2O4.

Calculated values
VASP energy: -146.961 eV per cell
Energy relative to the lowest polymorph listed for this composition: 6.1 meV/atom
M_tot: 0.000 μB per formula unit

abc: 5.993 7.680 8.731
angles: 90.00 110.33 90.00
Fractional coordinates of all 30 atoms:
Ca: 0.000 0.000 0.000
Ca: 0.000 0.500 0.500
H: 0.103 0.071 0.358
H: 0.103 0.429 0.858
H: 0.104 0.067 0.691
H: 0.104 0.433 0.191
H: 0.424 0.722 0.519
H: 0.424 0.778 0.019
H: 0.428 0.699 0.699
H: 0.428 0.801 0.199
H: 0.572 0.199 0.801
H: 0.572 0.301 0.301
H: 0.576 0.222 0.981
H: 0.576 0.278 0.481
H: 0.896 0.567 0.809
H: 0.896 0.933 0.309
H: 0.897 0.571 0.142
H: 0.897 0.929 0.642
Cl: 0.300 0.216 0.571
Cl: 0.300 0.284 0.071
Cl: 0.700 0.716 0.929
Cl: 0.700 0.784 0.429
O: 0.000 0.001 0.265
O: 0.000 0.499 0.765
O: 0.000 0.501 0.235
O: 0.000 0.999 0.735
O: 0.323 0.686 0.583
O: 0.323 0.814 0.083
O: 0.677 0.186 0.917
O: 0.677 0.314 0.417

***

A plane-wave DFT calculation with PBEsol was carried out for a relaxed structure of CaHClO.

Calculated values
VASP energy: -42.573 eV per cell
M_tot: 0.000 μB per formula unit

abc: 3.822 3.822 9.790
angles: 90.00 90.00 120.00
Fractional coordinates of all 8 atoms:
Ca: 0.333 0.667 0.000
Ca: 0.667 0.333 0.500
H: 0.000 0.000 0.332
H: 0.000 0.000 0.832
Cl: 0.333 0.667 0.684
Cl: 0.667 0.333 0.184
O: 0.000 0.000 0.432
O: 0.000 0.000 0.932

***

A plane-wave DFT calculation with PBEsol was carried out for a relaxed structure of CaH8Cl2O4.

Calculated values
VASP energy: -147.144 eV per cell
Energy relative to the lowest polymorph listed for this composition: 0.0 meV/atom
M_tot: 0.000 μB per formula unit

abc: 6.237 6.476 8.183
angles: 93.93 96.08 111.27
Fractional coordinates of all 30 atoms:
Ca: 0.002 0.381 0.244
Ca: 0.998 0.619 0.756
H: 0.197 0.831 0.437
H: 0.241 0.114 0.077
H: 0.247 0.055 0.669
H: 0.255 0.313 0.966
H: 0.308 0.394 0.687
H: 0.359 0.710 0.503
H: 0.416 0.052 0.826
H: 0.465 0.582 0.836
H: 0.535 0.418 0.164
H: 0.584 0.948 0.174
H: 0.641 0.290 0.497
H: 0.692 0.606 0.313
H: 0.745 0.687 0.034
H: 0.753 0.945 0.331
H: 0.759 0.886 0.923
H: 0.803 0.169 0.563
Cl: 0.233 0.771 0.095
Cl: 0.282 0.208 0.456
Cl: 0.718 0.792 0.544
Cl: 0.767 0.229 0.905
O: 0.191 0.685 0.472
O: 0.250 0.986 0.774
O: 0.267 0.276 0.083
O: 0.300 0.478 0.791
O: 0.700 0.522 0.209
O: 0.733 0.724 0.917
O: 0.750 0.014 0.226
O: 0.809 0.315 0.528

***

A plane-wave DFT calculation with PBEsol was carried out for a relaxed structure of CaP2HCl.

Calculated values
VASP energy: -21.217 eV per cell
M_tot: 0.000 μB per formula unit

abc: 3.722 3.722 5.803
angles: 90.00 90.00 90.00
Fractional coordinates of all 5 atoms:
Ca: 0.000 0.000 0.000
P: 0.000 0.500 0.500
P: 0.500 0.000 0.500
H: 0.500 0.500 0.500
Cl: 0.500 0.500 0.000

***

A plane-wave DFT calculation with PBEsol was carried out for a relaxed structure of CaHSCl2.

Calculated values
VASP energy: -15.063 eV per cell
M_tot: 3.018 μB per formula unit

abc: 5.279 5.279 5.660
angles: 90.00 90.00 90.00
Fractional coordinates of all 5 atoms:
Ca: 0.000 0.000 0.000
H: 0.500 0.500 0.500
S: 0.000 0.000 0.500
Cl: 0.000 0.500 0.000
Cl: 0.500 0.000 0.000

***

A plane-wave DFT calculation with PBEsol was carried out for a relaxed structure of CaHfS2Cl.

Calculated values
VASP energy: -30.760 eV per cell
M_tot: 0.000 μB per formula unit
Formation energy without anion corrections: -1.4695 eV per atom

abc: 4.915 4.915 4.785
angles: 90.00 90.00 90.00
Fractional coordinates of all 5 atoms:
Ca: 0.000 0.000 0.000
Hf: 0.500 0.500 0.500
S: 0.000 0.500 0.500
S: 0.500 0.000 0.500
Cl: 0.500 0.500 0.000

***

A plane-wave DFT calculation with PBEsol was carried out for a relaxed structure of CaHgCl2.

Calculated values
VASP energy: -11.509 eV per cell
Energy relative to the lowest polymorph listed for this composition: 484.9 meV/atom
M_tot: 0.000 μB per formula unit
Formation energy without anion corrections: -1.1984 eV per atom

abc: 5.086 5.086 5.086
angles: 60.00 60.00 60.00
Fractional coordinates of all 4 atoms:
Ca: 0.000 0.000 0.000
Hg: 0.750 0.750 0.750
Cl: 0.250 0.250 0.250
Cl: 0.500 0.500 0.500

***

A plane-wave DFT calculation with PBEsol was carried out for a relaxed structure of CaHgCl2.

Calculated values
VASP energy: -13.449 eV per cell
Energy relative to the lowest polymorph listed for this composition: 0.0 meV/atom
M_tot: 0.000 μB per formula unit
Formation energy without anion corrections: -1.6833 eV per atom

abc: 3.998 3.998 9.307
angles: 102.18 102.18 60.02
Fractional coordinates of all 4 atoms:
Ca: 0.000 0.000 0.000
Hg: 0.500 0.500 0.500
Cl: 0.282 0.282 0.842
Cl: 0.718 0.718 0.158

***

A plane-wave DFT calculation with PBEsol was carried out for a relaxed structure of CaHgCl2.

Calculated values
VASP energy: -12.763 eV per cell
Energy relative to the lowest polymorph listed for this composition: 171.3 meV/atom
M_tot: 0.000 μB per formula unit
Formation energy without anion corrections: -1.5119 eV per atom

abc: 5.917 5.917 5.917
angles: 141.45 117.32 76.05
Fractional coordinates of all 4 atoms:
Ca: 0.000 0.000 0.000
Hg: 0.500 0.500 0.000
Cl: 0.192 0.692 0.500
Cl: 0.808 0.308 0.500

***

A plane-wave DFT calculation with PBEsol was carried out for a relaxed structure of CaHgP2Cl.

Calculated values
VASP energy: -14.205 eV per cell
M_tot: 1.790 μB per formula unit
Formation energy without anion corrections: 0.4171 eV per atom

abc: 5.384 5.384 5.034
angles: 90.00 90.00 90.00
Fractional coordinates of all 5 atoms:
Ca: 0.000 0.000 0.000
Hg: 0.500 0.500 0.500
P: 0.000 0.500 0.000
P: 0.500 0.000 0.000
Cl: 0.000 0.000 0.500

***

A plane-wave DFT calculation with PBEsol was carried out for a relaxed structure of CaHgPCl2.

Calculated values
VASP energy: -14.870 eV per cell
M_tot: 1.917 μB per formula unit
Formation energy without anion corrections: -0.4725 eV per atom

abc: 5.107 5.107 5.864
angles: 90.00 90.00 90.00
Fractional coordinates of all 5 atoms:
Ca: 0.000 0.000 0.000
Hg: 0.500 0.500 0.500
P: 0.000 0.000 0.500
Cl: 0.000 0.500 0.000
Cl: 0.500 0.000 0.000